Entry from the Alexandria database: a relaxed Pa2CoH4 crystal (GGA-PBE).

Total moment, μB/cell: 0.01
E, eV/cell: -41.1
DOS at the Fermi energy, states/eV/atom: 1.0583

extended XYZ file:
```
7
Lattice="-1.624 1.624 6.958 1.624 -1.624 6.958 1.624 1.624 -6.958" Properties=species:S:1:pos:R:3 pbc="T T T"
Pa 0.000 0.000 1.957
Pa 0.000 0.000 11.959
Co 0.000 0.000 6.958
H 1.624 0.000 0.000
H 0.000 0.000 4.221
H 0.000 1.624 0.000
H 0.000 0.000 9.695
```

=====

Entry from the Alexandria database: a relaxed Ta2AgO crystal (GGA-PBE).

Total moment, μB/cell: 0.00
DOS at the Fermi energy, states/eV/atom: 0.8085
Formation energy (no corrections), eV/atom: -0.055

extended XYZ file:
```
8
Lattice="-2.515 2.515 5.897 2.515 -2.515 5.897 2.515 2.515 -5.897" Properties=species:S:1:pos:R:3 pbc="T T T"
Ta 3.772 0.649 -1.474
Ta 0.649 1.257 1.474
Ta -1.257 1.866 4.422
Ta 1.866 1.257 7.371
Ag 2.515 0.000 2.948
Ag 0.000 0.000 5.897
O 0.000 0.000 0.000
O 0.000 2.515 2.948
```

=====

Entry from the Alexandria database: a relaxed KMg2As crystal (GGA-PBE).

Total moment, μB/cell: 0.00
E_form, eV per atom: -0.096
DOS at the Fermi energy, states/eV/atom: 0.4465

extended XYZ file:
```
4
Lattice="-1.975 2.877 5.210 1.975 -2.877 5.210 1.975 2.877 -5.210" Properties=species:S:1:pos:R:3 pbc="T T T"
K 0.000 0.000 0.000
Mg 1.975 0.000 3.361
Mg 0.000 2.877 1.849
As 0.000 0.000 5.210
```

=====

Entry from the Alexandria database: a relaxed Bi2MoN2 crystal (GGA-PBE).

Total moment, μB/cell: 0.00
Energy above the lowest structure with this stoichiometry, meV per atom: 46
DOS at the Fermi energy, states/eV/atom: 0.9584
Formation energy (no corrections), eV/atom: 1.562

extended XYZ file:
```
10
Lattice="7.484 0.000 0.000 0.000 7.484 0.000 0.000 0.000 3.308" Properties=species:S:1:pos:R:3 pbc="T T T"
Bi 1.192 2.550 0.000
Bi 2.550 6.292 0.000
Bi 4.934 1.192 0.000
Bi 6.292 4.934 0.000
Mo 0.000 0.000 0.000
Mo 3.742 3.742 0.000
N 1.462 5.204 1.654
N 2.280 1.462 1.654
N 5.204 6.022 1.654
N 6.022 2.280 1.654
```